## TlMoPdF6 (PBE with a Hubbard U)

Data for a relaxed TlMoPdF6 crystal.

Space-group type = P-31c
E_tot = -4.79 eV/atom

abc: 5.8769 5.8769 11.2487
angles: 90.00 90.00 120.00
Fractional positions:
Tl 0.0000 0.0000 0.0000
Tl 0.0000 0.0000 0.5000
Mo 0.3333 0.6667 0.2500
Mo 0.6667 0.3333 0.7500
Pd 0.3333 0.6667 0.7500
Pd 0.6667 0.3333 0.2500
F 0.0140 0.3740 0.1517
F 0.0140 0.6401 0.3483
F 0.3599 0.3740 0.3483
F 0.3599 0.9860 0.1517
F 0.3740 0.0140 0.6517
F 0.3740 0.3599 0.8483
F 0.6260 0.6401 0.1517
F 0.6260 0.9860 0.3483
F 0.6401 0.0140 0.8483
F 0.6401 0.6260 0.6517
F 0.9860 0.3599 0.6517
F 0.9860 0.6260 0.8483